(1)
The following is a PBE calculation of a geometry-optimized Pm3Dy5Ho2 structure, from Alexandria via LeMat-Bulk.

N(E_F): 27.24 states/eV per cell
Polymorph energy (0 for the lowest one): 1.03 eV/f.u.
SG: Ibam, No. 72

Geometry as POSCAR:
```
Pm3Dy5Ho2
1.0
-6.070 8.531 3.195
6.070 -8.531 3.195
6.070 8.531 -3.195
Pm Dy Ho
6 10 4
direct
0.167 0.588 0.755
0.250 0.250 0.000
0.333 0.088 0.421
0.667 0.912 0.579
0.750 0.750 0.000
0.833 0.412 0.245
0.168 0.238 0.406
0.250 0.502 0.252
0.250 0.750 0.500
0.250 0.998 0.748
0.332 0.738 0.070
0.668 0.262 0.930
0.750 0.002 0.252
0.750 0.250 0.500
0.750 0.498 0.748
0.832 0.762 0.594
0.168 0.906 0.075
0.332 0.406 0.738
0.668 0.594 0.262
0.832 0.094 0.925
```

---

(2)
The following is a PBE calculation of a geometry-optimized SrCdAs structure, from Alexandria via LeMat-Bulk.

N(E_F): 1.51 states/eV per cell
Polymorph energy (0 for the lowest one): 0.23 eV/f.u.
SG: F-43m, No. 216

Geometry as POSCAR:
```
SrCdAs
1.0
0.000 3.605 3.605
3.605 0.000 3.605
3.605 3.605 0.000
Sr Cd As
1 1 1
direct
0.000 0.000 0.000
0.500 0.500 0.500
0.750 0.750 0.750
```

---

(3)
The following is a PBE calculation of a geometry-optimized Li4CePb5 structure, from Alexandria via LeMat-Bulk.

N(E_F): 10.87 states/eV per cell
E_tot: -35.0 eV/f.u.
SG: P4/mmm, No. 123

Geometry as POSCAR:
```
Li4CePb5
1.0
3.582 0.000 0.000
0.000 3.582 0.000
0.000 0.000 18.796
Li Ce Pb
4 1 5
direct
0.000 0.000 0.093
0.000 0.000 0.284
0.000 0.000 0.716
0.000 0.000 0.907
0.000 0.000 0.500
0.500 0.500 0.000
0.500 0.500 0.189
0.500 0.500 0.377
0.500 0.500 0.623
0.500 0.500 0.811
```

---

(4)
The following is a PBE calculation of a geometry-optimized Tb3Al5O12 structure, from Alexandria via LeMat-Bulk.

N(E_F): 0.00 states/eV per cell
Formation energy from raw total energies: -75.5 kcal/mol of atoms
SG: Ia-3d, No. 230

Geometry as POSCAR:
```
Tb3Al5O12
1.0
-6.070 6.070 6.070
6.070 -6.070 6.070
6.070 6.070 -6.070
Tb Al O
12 20 48
direct
0.125 0.250 0.375
0.125 0.375 0.750
0.250 0.375 0.125
0.250 0.875 0.625
0.375 0.125 0.250
0.375 0.750 0.125
0.625 0.250 0.875
0.625 0.875 0.750
0.750 0.125 0.375
0.750 0.625 0.875
0.875 0.625 0.250
0.875 0.750 0.625
0.000 0.000 0.000
0.000 0.000 0.500
0.000 0.500 0.000
0.000 0.500 0.500
0.125 0.750 0.875
0.125 0.875 0.250
0.250 0.125 0.875
0.250 0.625 0.375
0.375 0.250 0.625
0.375 0.625 0.750
0.500 0.000 0.000
0.500 0.000 0.500
0.500 0.500 0.000
0.500 0.500 0.500
0.625 0.375 0.250
0.625 0.750 0.375
0.750 0.375 0.625
0.750 0.875 0.125
0.875 0.125 0.750
0.875 0.250 0.125
0.019 0.199 0.118
0.019 0.320 0.901
0.081 0.699 0.680
0.081 0.882 0.401
0.099 0.618 0.419
0.099 0.981 0.680
0.118 0.019 0.199
0.118 0.599 0.919
0.180 0.199 0.581
0.180 0.481 0.599
0.199 0.118 0.019
0.199 0.581 0.180
0.301 0.320 0.919
0.301 0.481 0.382
0.320 0.901 0.019
0.320 0.919 0.301
0.382 0.301 0.481
0.382 0.581 0.901
0.401 0.081 0.882
0.401 0.820 0.519
0.419 0.099 0.618
0.419 0.820 0.801
0.481 0.382 0.301
0.481 0.599 0.180
0.519 0.401 0.820
0.519 0.618 0.699
0.581 0.180 0.199
0.581 0.901 0.382
0.599 0.180 0.481
0.599 0.919 0.118
0.618 0.419 0.099
0.618 0.699 0.519
0.680 0.081 0.699
0.680 0.099 0.981
0.699 0.519 0.618
0.699 0.680 0.081
0.801 0.419 0.820
0.801 0.882 0.981
0.820 0.519 0.401
0.820 0.801 0.419
0.882 0.401 0.081
0.882 0.981 0.801
0.901 0.019 0.320
0.901 0.382 0.581
0.919 0.118 0.599
0.919 0.301 0.320
0.981 0.680 0.099
0.981 0.801 0.882
```

---

Among the records above, which one has the highest N(E_F)?
Pm3Dy5Ho2

---

Look up the N(E_F) of the fourth one.
0.00 states/eV per cell